A relaxed Ti2HN crystal, computed with PBE.

SG = Fm-3m (225)
energy relative to the lowest polymorph listed for this composition = 0.6569 eV per atom
density of states at the Fermi level = 0.081 states/eV per atom

abc: 3.716 3.716 3.716
angles: 60.00 60.00 60.00
Element x y z (fractional)
H1 0.000 0.000 0.000
Ti1 0.250 0.250 0.250
Ti2 0.750 0.750 0.750
N1 0.500 0.500 0.500

A relaxed Ti3H3N crystal, computed with PBE.

SG = R-3 (148)
raw total energy = -6.882 eV per atom
density of states at the Fermi level = 0.511 states/eV per atom

abc: 5.277 5.277 5.899
angles: 63.43 63.43 60.00
Element x y z (fractional)
H1 0.803 0.128 0.618
H2 0.452 0.803 0.618
H3 0.872 0.548 0.382
H4 0.548 0.197 0.382
H5 0.197 0.872 0.382
H6 0.128 0.452 0.618
Ti1 0.078 0.730 0.764
Ti2 0.571 0.922 0.236
Ti3 0.922 0.270 0.236
Ti4 0.429 0.078 0.764
Ti5 0.270 0.571 0.236
Ti6 0.730 0.429 0.764
N1 0.334 0.334 0.999
N2 0.666 0.666 0.001

Number 1: calculated volume 9.07 A^3/atom, M_tot 0.0000 μB per atom. Number 2: calculated volume 8.70 A^3/atom, M_tot 0.0000 μB per atom.